Crystalline KSb2Mo at its relaxed geometry. Source: the Alexandria database, functional PBEsol.

Geometry as POSCAR:
```
KSb2Mo
1.0
3.324 0.000 0.000
1.662 4.223 -0.004
1.662 0.842 7.625
Mo K Sb
1 1 2
direct
0.690 0.634 0.987 Mo
0.457 0.582 0.503 K
0.309 0.204 0.179 Sb
0.045 0.080 0.831 Sb
```

Results
The value obtained for the formation energy (no corrections) is 0.54 eV per formula unit. The value obtained for the calculated density is 5.87 g/cm³. Its density of states at the Fermi level is 3.9 states/eV per cell.